Computed, not measured: an optimized crystal structure of MgTl2Pb3 at the GGA-PBE level of DFT.

Output
The total magnetic moment is 0.00 μB/cell. The value obtained for the electronic total energy is -2.89 eV per atom. The energy above the lowest structure with this stoichiometry is 0.00 eV/f.u. Its density of states at the Fermi level is 0.501 states/eV/atom. The value obtained for the formation energy is 1.6 kJ per mole of atoms.

abc: 17.360 6.268 6.721
angles: 90.00 90.73 90.00
Space group C2/c (No. 15)
Symmetry-distinct sites (fractional):
1 Mg 0.000 0.229 0.250 x4
2 Tl 0.183 0.492 0.243 x8
3 Pb 0.000 0.287 0.750 x4
4 Pb 0.137 0.001 0.500 x8